(1)
Material: As2P2O
Method: DFT, PBE
State: optimized geometry

Lattice parameters (Å, degrees): 6.681 6.681 3.539 90.00 90.00 90.00
Fractional coordinates of all 10 atoms:
1 As 0.149 0.351 0.000
2 As 0.351 0.851 0.000
3 As 0.649 0.149 0.000
4 As 0.851 0.649 0.000
5 P 0.184 0.684 0.500
6 P 0.316 0.184 0.500
7 P 0.684 0.816 0.500
8 P 0.816 0.316 0.500
9 O 0.000 0.000 0.500
10 O 0.500 0.500 0.500

Computed properties:
The calculation puts the uncorrected energy at -45.357 eV per cell. The calculation puts the density of states at the Fermi level at 4.187 states/eV/cell. Its uncorrected formation energy is 480 meV/atom. The calculation puts the energy above the most stable polymorph in this dataset at 557 meV/atom.

=====

(2)
Material: SrZrTa2N
Method: DFT, PBE
State: optimized geometry

Lattice parameters (Å, degrees): 5.228 5.228 4.107 90.00 90.00 90.00
Fractional coordinates of all 5 atoms:
1 Sr 0.000 0.000 0.000
2 Zr 0.500 0.500 0.500
3 Ta 0.000 0.500 0.000
4 Ta 0.500 0.000 0.000
5 N 0.000 0.000 0.500

Computed properties:
The calculation puts the uncorrected energy at -29.494 eV per cell. The calculation puts the density of states at the Fermi level at 5.484 states/eV/cell. Its uncorrected formation energy is 2553 meV/atom.

=====

(3)
Material: PuMgSiAu
Method: DFT, PBE
State: optimized geometry

Lattice parameters (Å, degrees): 4.879 4.879 4.879 60.00 60.00 60.00
Fractional coordinates of all 4 atoms:
1 Pu 0.000 0.000 0.000
2 Mg 0.500 0.500 0.500
3 Si 0.250 0.250 0.250
4 Au 0.750 0.750 0.750

Computed properties:
The calculation puts the uncorrected energy at -26.038 eV per cell. The calculation puts the density of states at the Fermi level at 10.436 states/eV/cell. Its uncorrected formation energy is -353 meV/atom.

=====

(4)
Material: PmPr3Er7
Method: DFT, PBE
State: optimized geometry

Lattice parameters (Å, degrees): 7.062 7.062 8.717 90.00 90.00 120.00
Fractional coordinates of all 11 atoms:
1 Pm 0.000 0.000 0.000
2 Pr 0.167 0.334 0.340
3 Pr 0.167 0.833 0.340
4 Pr 0.666 0.833 0.340
5 Er 0.001 0.501 0.000
6 Er 0.333 0.166 0.678
7 Er 0.333 0.667 0.680
8 Er 0.499 0.501 0.000
9 Er 0.499 0.999 0.000
10 Er 0.834 0.166 0.678
11 Er 0.834 0.667 0.678

Computed properties:
The calculation puts the uncorrected energy at -49.091 eV per cell. The calculation puts the density of states at the Fermi level at 16.581 states/eV/cell. The calculation puts the energy above the most stable polymorph in this dataset at 55 meV/atom. The calculation puts the formation energy at 176 meV/atom.

=====

(5)
Material: RbNpTlI6
Method: DFT, PBE
State: optimized geometry

Lattice parameters (Å, degrees): 8.613 8.613 14.990 90.00 90.00 120.00
Fractional coordinates of all 18 atoms:
1 Rb 0.000 0.000 0.000
2 Rb 0.000 0.000 0.500
3 Np 0.333 0.667 0.250
4 Np 0.667 0.333 0.750
5 Tl 0.333 0.667 0.750
6 Tl 0.667 0.333 0.250
7 I 0.043 0.388 0.133
8 I 0.043 0.655 0.367
9 I 0.345 0.388 0.367
10 I 0.345 0.957 0.133
11 I 0.388 0.043 0.633
12 I 0.388 0.345 0.867
13 I 0.612 0.655 0.133
14 I 0.612 0.957 0.367
15 I 0.655 0.043 0.867
16 I 0.655 0.612 0.633
17 I 0.957 0.345 0.633
18 I 0.957 0.612 0.867

Computed properties:
The calculation puts the uncorrected energy at -67.878 eV per cell. The calculation puts the density of states at the Fermi level at 8.432 states/eV/cell. Its uncorrected formation energy is -929 meV/atom.

=====

(6)
Material: BaCa2Zr
Method: DFT, PBE
State: optimized geometry

Lattice parameters (Å, degrees): 3.617 5.999 7.071 90.00 99.55 90.00
Fractional coordinates of all 4 atoms:
1 Ba 0.000 0.000 0.000
2 Ca 0.382 0.000 0.535
3 Ca 0.759 0.500 0.321
4 Zr 0.394 0.500 0.778

Computed properties:
The calculation puts the uncorrected energy at -12.765 eV per cell. The calculation puts the density of states at the Fermi level at 5.213 states/eV/cell. The calculation puts the energy above the most stable polymorph in this dataset at 101 meV/atom. The calculation puts the formation energy at 427 meV/atom.